No. 1
Density functional theory data (PBE) for a relaxed YTa2 crystal.

abc: 6.148 4.796 9.148
angles: 90.00 90.00 90.00
Element x y z (fractional)
Y: 0.147 0.250 0.096
Y: 0.353 0.750 0.596
Y: 0.647 0.250 0.404
Y: 0.853 0.750 0.904
Ta: 0.016 0.750 0.283
Ta: 0.126 0.250 0.441
Ta: 0.374 0.750 0.941
Ta: 0.484 0.250 0.783
Ta: 0.516 0.750 0.217
Ta: 0.626 0.250 0.059
Ta: 0.874 0.750 0.559
Ta: 0.984 0.250 0.717

Energy above the lowest structure with this stoichiometry: 0.188 eV/atom
Energy of formation: 0.43 eV/atom

---

No. 2
Density functional theory data (PBE) for a relaxed La2YSc crystal.

abc: 3.720 5.847 5.948
angles: 90.00 90.00 90.00
Element x y z (fractional)
La: 0.000 0.000 0.000
La: 0.500 0.500 0.000
Y: 0.000 0.500 0.500
Sc: 0.500 0.000 0.500

Energy above the lowest structure with this stoichiometry: 0.114 eV/atom
Energy of formation: 0.15 eV/atom

---

Looking at density of states at the Fermi level for the records above, in order, we have 14.00 9.77 states/eV per cell.